No. 1
ScIn8 | SCAN | single point on PBEsol structure

Unit cell a=4.428 b=7.316 c=7.316 alpha=84.75 beta=72.39 gamma=72.39
Fractional positions:
In1 0.664 0.672 0.000
In2 0.336 0.328 0.000
In3 0.000 0.670 0.330
In4 0.330 0.670 0.670
In5 0.000 0.330 0.670
In6 0.670 0.330 0.330
In7 0.664 0.000 0.672
In8 0.336 0.000 0.328
Sc1 0.000 0.000 0.000

Calculated values
Formation energy in meV per atom: -59.3
Calculated volume in Å³ per atom: 23.92
Calculated total energy in eV/atom: -31.318
Fermi-level density of states in states/eV/cell: 4.5



No. 2
ScIn2 | SCAN | single point on PBEsol structure

Unit cell a=3.296 b=4.881 c=4.881 alpha=90.00 beta=90.00 gamma=90.00
Fractional positions:
Sc1 0.000 0.000 0.000
In1 0.500 0.500 0.000
In2 0.500 0.000 0.500

Calculated values
Formation energy in meV per atom: -335.5
Calculated volume in Å³ per atom: 26.18
Calculated total energy in eV/atom: -27.339
Fermi-level density of states in states/eV/cell: 1.1



- calculated volume of number 1 (ScIn8)?
  23.92 Å³ per atom



- Among the records above, which one has the lowest calculated volume?
  ScIn8



- Which value of calculated total energy does entry 1 give?
  -31.318 eV/atom